Below is crystalline TlV2SbTe at its relaxed geometry, with properties calculated at the PBE-GGA level.

The structure in extended XYZ format:
```
5
Lattice="5.2660 0.0000 0.0000 0.0000 5.4692 0.0000 0.0000 0.0000 5.2660" Properties=species:S:1:pos:R:3 pbc="T T T"
Tl 0.0000 0.0000 0.0000
Sb 0.0000 2.7346 0.0000
V 0.0000 0.0000 2.6330
V 2.6330 0.0000 0.0000
Te 2.6330 2.7346 2.6330
```

Output
SG: No. 123
ρ (g cm⁻³): 6.1
E_form (uncorrected) (kJ/mol of formula units): 636


Below is crystalline TlSbTe2W at its relaxed geometry, with properties calculated at the PBE-GGA level.

The structure in extended XYZ format:
```
5
Lattice="-1.1808 2.1458 -4.8436 0.9373 -4.7996 -2.3548 -5.0978 -1.3186 0.6586" Properties=species:S:1:pos:R:3 pbc="T T T"
Te -0.5904 1.0729 -2.4218
Te 0.4686 -2.3998 -1.1774
Tl -2.6707 -1.9862 -3.2699
W 0.0000 0.0000 0.0000
Sb -2.5489 -0.6593 0.3293
```

Output
SG: No. 123
ρ (g cm⁻³): 8.1
E above lowest polymorph (meV per atom): 0
E_form (uncorrected) (kJ/mol of formula units): 206


Below is crystalline YTlSbTe2 at its relaxed geometry, with properties calculated at the PBE-GGA level.

The structure in extended XYZ format:
```
5
Lattice="5.7174 0.0000 0.0000 0.0000 5.7174 0.0000 0.0000 0.0000 5.5152" Properties=species:S:1:pos:R:3 pbc="T T T"
Tl 0.0000 0.0000 0.0000
Te 0.0000 2.8587 0.0000
Y 2.8587 2.8587 2.7576
Te 2.8587 0.0000 0.0000
Sb 0.0000 0.0000 2.7576
```

Output
SG: No. 123
ρ (g cm⁻³): 6.2
E above lowest polymorph (meV per atom): 563
E_form (uncorrected) (kJ/mol of formula units): 154


Below is crystalline Y6TlSb2Te3 at its relaxed geometry, with properties calculated at the PBE-GGA level.

The structure in extended XYZ format:
```
12
Lattice="-3.2154 -2.6040 -1.3459 4.5310 -1.7685 -7.4030 4.5577 -5.4870 6.7602" Properties=species:S:1:pos:R:3 pbc="T T T"
Tl -1.6077 -1.3020 -0.6730
Sb 3.3803 -7.0102 -1.5456
Y 6.1255 -6.1940 -2.6502
Y 2.0080 -4.6283 -2.8756
Te 1.1056 -6.0958 2.1197
Te 0.6578 -2.1862 -4.3745
Y 3.8653 -5.2313 0.8869
Y -0.2522 -3.6656 0.6614
Y 1.1110 -0.4459 -1.7915
Sb 2.4930 -2.8494 -0.4431
Y 4.7623 -9.4136 -0.1972
Te 4.7678 -3.7637 -4.1084
```

Output
SG: No. 12
ρ (g cm⁻³): 6.3
E_form (uncorrected) (kJ/mol of formula units): -1319


Below is crystalline Y6Tl2SbTe3 at its relaxed geometry, with properties calculated at the PBE-GGA level.

The structure in extended XYZ format:
```
12
Lattice="4.2959 0.0000 0.0000 0.0000 8.9749 0.0189 -2.1480 -2.8975 9.2857" Properties=species:S:1:pos:R:3 pbc="T T T"
Tl 2.1480 3.9134 6.0967
Sb 2.1480 0.0000 0.0000
Y 2.1480 -0.0877 3.0769
Y 2.1480 3.8988 9.2008
Y 0.0000 6.1651 6.2276
Tl 0.0000 2.1640 3.2079
Te 2.1480 -0.5596 6.2462
Te 2.1480 4.4875 0.0094
Y 0.0000 1.6766 6.2548
Y 0.0000 2.1786 0.1037
Y 2.1480 4.4008 3.0498
Te 0.0000 6.6370 3.0583
```

Output
SG: No. 12
ρ (g cm⁻³): 6.7
E_form (uncorrected) (kJ/mol of formula units): -1136


Below is crystalline YTlSbTe2 at its relaxed geometry, with properties calculated at the PBE-GGA level.

The structure in extended XYZ format:
```
5
Lattice="5.8984 0.0000 0.0000 0.0000 5.8984 0.0000 0.0000 0.0000 5.8592" Properties=species:S:1:pos:R:3 pbc="T T T"
Te 0.0000 2.9492 0.0000
Sb 0.0000 0.0000 2.9296
Y 0.0000 0.0000 0.0000
Tl 2.9492 2.9492 2.9296
Te 2.9492 0.0000 0.0000
```

Output
SG: No. 123
ρ (g cm⁻³): 5.5
E above lowest polymorph (meV per atom): 0
E_form (uncorrected) (kJ/mol of formula units): -117